Density functional theory data (PBE) for crystalline AcPmSm6Ho2 at its relaxed geometry.

Lattice parameters (Å, degrees): 9.006 9.006 9.729 92.99 92.99 117.31
Atoms (fractional coordinates):
Ac1 0.031 0.969 0.750
Ac2 0.969 0.031 0.250
Pm1 0.410 0.590 0.250
Pm2 0.590 0.410 0.750
Sm1 0.014 0.554 0.680
Sm2 0.119 0.751 0.056
Sm3 0.249 0.881 0.444
Sm4 0.292 0.512 0.882
Sm5 0.446 0.986 0.820
Sm6 0.488 0.708 0.618
Sm7 0.512 0.292 0.382
Sm8 0.554 0.014 0.180
Sm9 0.708 0.488 0.118
Sm10 0.751 0.119 0.556
Sm11 0.881 0.249 0.944
Sm12 0.986 0.446 0.320
Ho1 0.201 0.310 0.548
Ho2 0.310 0.201 0.048
Ho3 0.690 0.799 0.952
Ho4 0.799 0.690 0.452

* magnetic moment: 0.0 μB per cell
* raw total energy: -4.51 eV per atom
* space-group type: C2/c (15)
* formation enthalpy at 0 K: 0.12 eV/atom